Entry 1:
YSc2Ru GGA-PBE relaxed; total magnetic moment = 0.00 μB per cell; electronic total energy = -7.18 eV per atom; excess energy over the best structure of this formula in the dataset = 264 meV per atom; space group = I-4m2, No. 119; formation energy from the elements = -0.0757 eV/atom
1.0
4.934 0.000 0.000
0.000 4.934 0.000
0.000 0.000 6.954
Y Sc Ru
2 4 2
Cartesian
0.000 0.000 0.000
2.467 2.467 3.477
0.000 0.000 3.477
0.000 2.467 1.739
2.467 0.000 5.216
2.467 2.467 0.000
0.000 2.467 5.216
2.467 0.000 1.739

=====

Entry 2:
YScRu2 GGA-PBE relaxed; total magnetic moment = 0.00 μB per cell; electronic total energy = -7.78 eV per atom; space group = P4mm, No. 99; formation energy from the elements = 0.0561 eV/atom
1.0
3.583 0.000 0.000
0.000 3.583 0.000
0.000 0.000 6.068
Y Sc Ru
1 1 2
Cartesian
0.000 0.000 0.000
1.791 1.791 3.827
0.000 0.000 2.889
1.791 1.791 1.253

=====

Entry 3:
Y2ScRu2 GGA-PBE relaxed; total magnetic moment = 0.00 μB per cell; electronic total energy = -7.87 eV per atom; excess energy over the best structure of this formula in the dataset = 76 meV per atom; space group = P4/mbm, No. 127; formation energy from the elements = -0.3111 eV/atom
1.0
7.091 0.000 0.000
0.000 7.091 0.000
0.000 0.000 4.355
Y Sc Ru
4 2 4
Cartesian
1.245 2.301 0.000
2.301 5.846 0.000
4.790 1.245 0.000
5.846 4.790 0.000
0.000 0.000 2.177
3.545 3.545 2.177
0.891 4.436 2.177
2.654 0.891 2.177
4.436 6.200 2.177
6.200 2.654 2.177

=====

Entry 4:
YSc2Ru3 GGA-PBE relaxed; total magnetic moment = 0.00 μB per cell; electronic total energy = -8.25 eV per atom; excess energy over the best structure of this formula in the dataset = 8 meV per atom; space group = Cmmm, No. 65; formation energy from the elements = -0.4251 eV/atom
1.0
4.641 0.000 0.000
0.000 13.836 0.000
0.000 0.000 3.300
Y Sc Ru
2 4 6
Cartesian
0.000 0.000 0.000
2.321 6.918 0.000
0.000 4.574 0.000
0.000 9.263 0.000
2.321 2.345 0.000
2.321 11.492 0.000
0.000 2.401 1.650
0.000 6.918 1.650
0.000 11.435 1.650
2.321 0.000 1.650
2.321 4.517 1.650
2.321 9.320 1.650

=====

Entry 5:
YSc2Ru GGA-PBE relaxed; total magnetic moment = 0.00 μB per cell; electronic total energy = -7.42 eV per atom; excess energy over the best structure of this formula in the dataset = 22 meV per atom; space group = P4/mmm, No. 123; formation energy from the elements = -0.3178 eV/atom
1.0
3.275 0.000 0.000
0.000 3.275 0.000
0.000 0.000 8.389
Y Sc Ru
1 2 1
Cartesian
0.000 0.000 0.000
1.637 1.637 2.674
1.637 1.637 5.714
0.000 0.000 4.194

=====

Entry 6:
YScRu2 GGA-PBE relaxed; total magnetic moment = 0.00 μB per cell; electronic total energy = -8.10 eV per atom; space group = Imm2, No. 44; formation energy from the elements = -0.2667 eV/atom
1.0
3.281 0.000 0.000
0.000 4.549 0.000
0.000 0.000 9.925
Y Sc Ru
2 2 4
Cartesian
0.000 0.000 0.000
1.640 2.274 4.963
0.000 2.274 2.227
1.640 0.000 7.189
0.000 0.000 4.742
0.000 2.274 7.500
1.640 0.000 2.537
1.640 2.274 9.705

=====

Entry 7:
Y4ScRu GGA-PBE relaxed; total magnetic moment = 1.28 μB per cell; electronic total energy = -6.20 eV per atom; space group = F-43m, No. 216; formation energy from the elements = 0.7151 eV/atom
1.0
0.000 4.345 4.345
4.345 0.000 4.345
4.345 4.345 0.000
Y Sc Ru
4 1 1
Cartesian
1.080 1.080 1.080
3.264 3.264 1.080
3.264 1.080 3.264
1.080 3.264 3.264
4.345 4.345 4.345
6.517 6.517 6.517

=====

Entry 8:
YSc3Ru GGA-PBE relaxed; total magnetic moment = 1.17 μB per cell; electronic total energy = -5.48 eV per atom; excess energy over the best structure of this formula in the dataset = 1605 meV per atom; space group = Pm-3m, No. 221; formation energy from the elements = 1.4694 eV/atom
1.0
4.929 0.000 0.000
0.000 4.929 0.000
0.000 0.000 4.929
Y Sc Ru
1 3 1
Cartesian
0.000 0.000 0.000
0.000 0.000 2.464
0.000 2.464 0.000
2.464 0.000 0.000
2.464 2.464 2.464

=====

Entry 9:
Y3ScRu4 GGA-PBE relaxed; total magnetic moment = 0.00 μB per cell; electronic total energy = -8.18 eV per atom; space group = P4/mmm, No. 123; formation energy from the elements = -0.3273 eV/atom
1.0
3.360 0.000 0.000
0.000 3.360 0.000
0.000 0.000 13.477
Y Sc Ru
3 1 4
Cartesian
0.000 0.000 0.000
0.000 0.000 3.451
0.000 0.000 10.026
0.000 0.000 6.738
1.680 1.680 1.733
1.680 1.680 5.213
1.680 1.680 8.264
1.680 1.680 11.744

=====

Entry 10:
YSc2Ru GGA-PBE relaxed; total magnetic moment = 0.00 μB per cell; electronic total energy = -7.10 eV per atom; excess energy over the best structure of this formula in the dataset = 336 meV per atom; space group = I4/mmm, No. 139; formation energy from the elements = -0.0042 eV/atom
1.0
4.181 0.000 0.000
0.000 4.181 0.000
0.000 0.000 9.771
Y Sc Ru
2 4 2
Cartesian
0.000 0.000 0.000
2.091 2.091 4.885
0.000 2.091 2.443
0.000 2.091 7.328
2.091 0.000 2.443
2.091 0.000 7.328
0.000 0.000 4.885
2.091 2.091 0.000

=====

Entry 11:
Y2Sc3Ru2 GGA-PBE relaxed; total magnetic moment = 0.00 μB per cell; electronic total energy = -7.58 eV per atom; space group = C2/m, No. 12; formation energy from the elements = -0.3709 eV/atom
1.0
11.081 0.000 0.000
0.000 3.906 0.000
-3.322 0.000 7.340
Y Sc Ru
4 6 4
Cartesian
0.725 0.000 2.186
1.494 1.953 5.154
6.266 1.953 2.186
7.035 0.000 5.154
-1.661 1.953 3.670
-1.668 1.953 6.820
3.887 0.000 0.520
3.880 0.000 3.670
3.873 0.000 6.820
9.427 1.953 0.520
-0.624 0.000 5.279
2.843 1.953 2.061
4.917 1.953 5.279
8.383 0.000 2.061

=====

Entry 12:
Sc3Zn2Ru GGA-PBE relaxed; total magnetic moment = 0.00 μB per cell; electronic total energy = -5.62 eV per atom; space group = Cmmm, No. 65; formation energy from the elements = -0.4814 eV/atom
1.0
4.701 0.000 0.000
0.000 14.004 0.000
0.000 0.000 3.285
Sc Zn Ru
6 4 2
Cartesian
0.000 0.000 0.000
0.000 4.814 0.000
0.000 9.189 0.000
2.350 2.187 0.000
2.350 7.002 0.000
2.350 11.816 0.000
0.000 2.391 1.643
0.000 11.612 1.643
2.350 4.611 1.643
2.350 9.393 1.643
0.000 7.002 1.643
2.350 0.000 1.643